[1]
A relaxed CrAsPS2 crystal. Source: Alexandria via LeMat-Bulk, functional GGA-PBEsol.

## Properties
- Symmetry: No. 123
- Raw total energy: -5.599 eV/atom
- Total magnetization: 0.0 μB per cell
- Calculated volume: 17.24 A^3/atom
- Raw formation energy: 0.382 eV per atom
- Density: 4277 kg/m3

a = 4.2327 Å, b = 4.2327 Å, c = 4.8113 Å
α = 90.00°, β = 90.00°, γ = 90.00°
Sites, in units of the cell vectors:
As 0.5000 0.5000 0.5000
S 0.0000 0.5000 0.0000
S 0.5000 0.0000 0.0000
P 0.0000 0.0000 0.5000
Cr 0.0000 0.0000 0.0000

[2]
A relaxed LiCr2Mo crystal. Source: Alexandria via LeMat-Bulk, functional GGA-PBEsol.

## Properties
- Symmetry: No. 225
- Raw total energy: -8.038 eV/atom
- E_form: 0.5170 eV/atom
- Total magnetization: 3.8 μB per cell
- Calculated volume: 12.94 A^3/atom
- Energy relative to the lowest polymorph listed for this composition: 0.004 eV per atom
- Density: 6635 kg/m3

a = 4.1832 Å, b = 4.1832 Å, c = 4.1832 Å
α = 90.03°, β = 119.99°, γ = 119.99°
Last column: magnetic moment on the atom in μB.
Sites, in units of the cell vectors:
Cr 0.5000 0.7500 0.2500  2.03
Cr 0.5000 0.2500 0.7500  2.03
Li 0.0000 0.0000 0.0000  0.01
Mo 0.0000 0.5000 0.5000  -0.64